1.
{"formula": "Ba2LiCaBr", "functional": "GGA-PBE", "state": "relaxed", "e_form_raw_ev_per_fu": -2.41, "spacegroup": "No. 123", "lattice_angstrom": [[6.690, 0.000, 0.000], [0.000, 6.690, 0.000], [0.000, 0.000, 4.994]], "species": ["Ba", "Ba", "Li", "Ca", "Br"], "fractional_positions": [[0.000, 0.500, 0.000], [0.500, 0.000, 0.000], [0.000, 0.000, 0.500], [0.500, 0.500, 0.500], [0.000, 0.000, 0.000]]}

---

2.
{"formula": "BaCaMg2Br8", "functional": "GGA-PBE", "state": "relaxed", "e_form_raw_ev_per_fu": -20.51, "spacegroup": "No. 10", "lattice_angstrom": [[6.702, 0.000, 0.000], [0.000, 8.602, 0.000], [-0.165, 0.000, 6.899]], "species": ["Ba", "Ca", "Mg", "Mg", "Br", "Br", "Br", "Br", "Br", "Br", "Br", "Br"], "fractional_positions": [[0.000, 0.000, 0.000], [0.000, 0.500, 0.000], [0.500, 0.257, 0.500], [0.500, 0.743, 0.500], [0.259, 0.273, 0.183], [0.259, 0.727, 0.183], [0.281, 0.500, 0.658], [0.293, 0.000, 0.638], [0.707, 0.000, 0.362], [0.719, 0.500, 0.342], [0.741, 0.273, 0.817], [0.741, 0.727, 0.817]]}

---

3.
{"formula": "BaCa2MgBr8", "functional": "GGA-PBE", "state": "relaxed", "e_form_raw_ev_per_fu": -22.58, "spacegroup": "No. 10", "lattice_angstrom": [[6.741, 0.000, 0.000], [0.000, 8.954, 0.000], [-0.153, 0.000, 6.973]], "species": ["Ba", "Ca", "Ca", "Mg", "Br", "Br", "Br", "Br", "Br", "Br", "Br", "Br"], "fractional_positions": [[0.000, 0.000, 0.000], [0.500, 0.266, 0.500], [0.500, 0.734, 0.500], [0.000, 0.500, 0.000], [0.227, 0.288, 0.166], [0.227, 0.712, 0.166], [0.263, 0.500, 0.679], [0.284, 0.000, 0.639], [0.716, 0.000, 0.361], [0.737, 0.500, 0.321], [0.773, 0.288, 0.834], [0.773, 0.712, 0.834]]}

---

4.
{"formula": "BaCaMgBr2", "functional": "GGA-PBE", "state": "relaxed", "e_form_raw_ev_per_fu": -3.57, "spacegroup": "No. 123", "lattice_angstrom": [[5.559, 0.000, 0.000], [0.000, 5.559, 0.000], [0.000, 0.000, 8.380]], "species": ["Ba", "Ca", "Mg", "Br", "Br"], "fractional_positions": [[0.000, 0.000, 0.000], [0.000, 0.000, 0.500], [0.500, 0.500, 0.000], [0.000, 0.500, 0.500], [0.500, 0.000, 0.500]]}

---

5.
{"formula": "BaCaMgBr6", "functional": "GGA-PBE", "state": "relaxed", "e_form_raw_ev_per_fu": -16.92, "spacegroup": "No. 163", "lattice_angstrom": [[7.303, 0.000, 0.000], [-3.652, 6.325, 0.000], [0.000, 0.000, 13.894]], "species": ["Ba", "Ba", "Ca", "Ca", "Mg", "Mg", "Br", "Br", "Br", "Br", "Br", "Br", "Br", "Br", "Br", "Br", "Br", "Br"], "fractional_positions": [[0.000, 0.000, 0.000], [0.000, 0.000, 0.500], [0.333, 0.667, 0.250], [0.667, 0.333, 0.750], [0.333, 0.667, 0.750], [0.667, 0.333, 0.250], [0.020, 0.375, 0.636], [0.020, 0.645, 0.864], [0.355, 0.375, 0.864], [0.355, 0.980, 0.636], [0.375, 0.020, 0.136], [0.375, 0.355, 0.364], [0.625, 0.645, 0.636], [0.625, 0.980, 0.864], [0.645, 0.020, 0.364], [0.645, 0.625, 0.136], [0.980, 0.355, 0.136], [0.980, 0.625, 0.364]]}

---

6.
{"formula": "BaCaMn2Br8", "functional": "GGA-PBE", "state": "relaxed", "e_form_raw_ev_per_fu": -16.51, "spacegroup": "No. 147", "lattice_angstrom": [[6.964, 0.000, 0.000], [-3.482, 6.031, 0.000], [0.000, 0.000, 9.777]], "species": ["Ba", "Ca", "Mn", "Mn", "Br", "Br", "Br", "Br", "Br", "Br", "Br", "Br"], "fractional_positions": [[0.000, 0.000, 0.000], [0.000, 0.000, 0.500], [0.333, 0.667, 0.753], [0.667, 0.333, 0.247], [0.008, 0.691, 0.304], [0.309, 0.317, 0.304], [0.317, 0.008, 0.696], [0.333, 0.667, 0.004], [0.667, 0.333, 0.996], [0.683, 0.992, 0.304], [0.691, 0.683, 0.696], [0.992, 0.309, 0.696]]}

---

7.
{"formula": "BaCa2MnBr8", "functional": "GGA-PBE", "state": "relaxed", "e_form_raw_ev_per_fu": -20.50, "spacegroup": "No. 10", "lattice_angstrom": [[6.729, 0.000, 0.000], [0.000, 8.926, 0.000], [-0.152, 0.000, 6.980]], "species": ["Ba", "Ca", "Ca", "Mn", "Br", "Br", "Br", "Br", "Br", "Br", "Br", "Br"], "fractional_positions": [[0.000, 0.000, 0.000], [0.500, 0.266, 0.500], [0.500, 0.734, 0.500], [0.000, 0.500, 0.000], [0.230, 0.289, 0.164], [0.230, 0.711, 0.164], [0.259, 0.500, 0.677], [0.282, 0.000, 0.637], [0.718, 0.000, 0.363], [0.741, 0.500, 0.323], [0.770, 0.289, 0.836], [0.770, 0.711, 0.836]]}

---

8.
{"formula": "BaCaBr2N", "functional": "GGA-PBE", "state": "relaxed", "e_form_raw_ev_per_fu": -2.52, "spacegroup": "No. 123", "lattice_angstrom": [[6.198, 0.000, 0.000], [0.000, 6.198, 0.000], [0.000, 0.000, 4.215]], "species": ["Ba", "Ca", "Br", "Br", "N"], "fractional_positions": [[0.000, 0.000, 0.000], [0.500, 0.500, 0.000], [0.000, 0.500, 0.500], [0.500, 0.000, 0.500], [0.500, 0.500, 0.500]]}

---

9.
{"formula": "BaCa2BrN", "functional": "GGA-PBE", "state": "relaxed", "e_form_raw_ev_per_fu": 2.59, "spacegroup": "No. 123", "lattice_angstrom": [[6.969, 0.000, 0.000], [0.000, 6.969, 0.000], [0.000, 0.000, 4.563]], "species": ["Ba", "Ca", "Ca", "Br", "N"], "fractional_positions": [[0.000, 0.000, 0.000], [0.000, 0.500, 0.000], [0.500, 0.000, 0.000], [0.500, 0.500, 0.500], [0.000, 0.000, 0.500]]}

---

10.
{"formula": "BaCa2NbBr", "functional": "GGA-PBE", "state": "relaxed", "e_form_raw_ev_per_fu": 5.43, "spacegroup": "No. 123", "lattice_angstrom": [[6.799, 0.000, 0.000], [0.000, 6.799, 0.000], [0.000, 0.000, 5.805]], "species": ["Ba", "Ca", "Ca", "Nb", "Br"], "fractional_positions": [[0.000, 0.000, 0.000], [0.000, 0.500, 0.000], [0.500, 0.000, 0.000], [0.500, 0.500, 0.500], [0.000, 0.000, 0.500]]}

---

11.
{"formula": "BaCaPBr", "functional": "GGA-PBE", "state": "relaxed", "e_form_raw_ev_per_fu": -6.12, "spacegroup": "No. 160", "lattice_angstrom": [[2.231, 1.288, 7.586], [-2.231, 1.288, 7.586], [0.000, -2.576, 7.586]], "species": ["Ba", "Ca", "P", "Br"], "fractional_positions": [[0.000, 0.000, 0.000], [0.529, 0.529, 0.529], [0.255, 0.255, 0.255], [0.772, 0.772, 0.772]]}

---

12.
{"formula": "BaCa2PbBr8", "functional": "GGA-PBE", "state": "relaxed", "e_form_raw_ev_per_fu": -21.20, "spacegroup": "No. 10", "lattice_angstrom": [[6.917, 0.000, 0.000], [0.000, 9.142, 0.000], [-0.019, 0.000, 7.190]], "species": ["Ba", "Ca", "Ca", "Pb", "Br", "Br", "Br", "Br", "Br", "Br", "Br", "Br"], "fractional_positions": [[0.000, 0.000, 0.000], [0.500, 0.255, 0.500], [0.500, 0.745, 0.500], [0.000, 0.500, 0.000], [0.253, 0.263, 0.169], [0.253, 0.737, 0.169], [0.271, 0.500, 0.655], [0.280, 0.000, 0.640], [0.720, 0.000, 0.360], [0.729, 0.500, 0.345], [0.747, 0.263, 0.831], [0.747, 0.737, 0.831]]}